Density functional theory data (GGA-PBE) for a relaxed La2Hg2O5 crystal.

abc: 8.787 4.346 4.346
angles: 90.00 90.00 90.00
Each line ends with the local moment (μB).
Positions (direct):
La1 0.757 0.500 0.500  0.01
O1 0.500 0.500 0.500  -0.01
O2 0.852 0.000 0.500  0.29
O3 0.852 0.500 0.000  0.25
La2 0.243 0.500 0.500  0.01
Hg1 0.000 0.000 0.000  0.02
O4 0.148 0.000 0.500  0.29
Hg2 0.500 0.000 0.000  0.00
O5 0.148 0.500 0.000  0.25

Calculated values
The value obtained for the total magnetic moment is 1.32 μB per formula unit. As for the energy above the most stable polymorph in this dataset: 0.3025 eV/atom. The value obtained for the total energy is -0.4055 Ry per atom.

Density functional theory data (GGA-PBE) for a relaxed LaHgO3 crystal.

abc: 5.830 5.830 5.830
angles: 62.58 62.58 62.58
Positions (direct):
Hg1 0.000 0.000 0.000
O1 0.750 0.367 0.133
La1 0.750 0.750 0.750
La2 0.250 0.250 0.250
O2 0.250 0.633 0.867
O3 0.867 0.250 0.633
Hg2 0.500 0.500 0.500
O4 0.367 0.133 0.750
O5 0.133 0.750 0.367
O6 0.633 0.867 0.250

Calculated values
The value obtained for the total magnetic moment is 0.00 μB per formula unit. The value obtained for the total energy is -0.4139 Ry per atom.